[1]
This record from Alexandria describes Mg2MnTeMo after structural relaxation. The functional is PBE.

E (eV per atom): -4.03
Theoretical density (g cm⁻³): 3.95
Size of the total moment (μB/f.u.): 4.80
Raw formation energy (eV/atom): 1.241

Cell and atoms, written as POSCAR:
```
Mg2MnTeMo
1.0
5.2385 0.0000 0.0000
0.0000 5.0108 0.0000
0.0000 0.0000 5.2385
Mo Te Mg Mn
1 1 2 1
Cartesian
0.0000 2.5054 0.0000
0.0000 0.0000 0.0000
0.0000 0.0000 2.6193
2.6193 0.0000 0.0000
2.6193 2.5054 2.6193
```


[2]
This record from Alexandria describes Zr2MnZn2 after structural relaxation. The functional is PBE.

E (eV per atom): -5.70
Relative energy among the computed polymorphs (meV/atom): 0.0
Energy of formation (eV/atom): 0.07
Theoretical density (g cm⁻³): 7.03
Size of the total moment (μB/f.u.): 0.01

Cell and atoms, written as POSCAR:
```
Zr2MnZn2
1.0
-4.0215 0.5877 -5.3385
-0.2904 -6.6833 -0.5170
-3.0879 -0.0454 2.3211
Zn Mn Zr
4 2 4
Cartesian
-1.7459 -5.6045 -2.4323
-3.6862 -3.6901 -4.9762
-2.5660 -0.4910 -3.4233
-0.6256 -2.4054 -0.8794
0.0000 0.0000 0.0000
-2.1559 -3.0478 -2.9278
-2.4610 -4.4555 -0.1462
-4.5130 -5.1104 -2.8889
-4.9387 -1.6854 -3.3883
-2.8868 -1.0304 -0.6456
```


[3]
This record from Alexandria describes MnSb2IN after structural relaxation. The functional is PBE.

E (eV per atom): -4.18
Relative energy among the computed polymorphs (meV/atom): 366.7
Theoretical density (g cm⁻³): 4.98
Size of the total moment (μB/f.u.): 5.13
Raw formation energy (eV/atom): 1.280

Cell and atoms, written as POSCAR:
```
MnSb2IN
1.0
-3.0036 -3.2615 2.3921
1.9022 -3.7685 -2.7497
4.0895 -0.8434 3.9849
I Sb Mn N
1 2 1 1
Cartesian
2.0447 -0.4217 1.9925
0.9511 -1.8843 -1.3748
-1.5018 -1.6307 1.1961
0.0000 0.0000 0.0000
1.4940 -3.9367 1.8137
```


[4]
This record from Alexandria describes MnPtIN2 after structural relaxation. The functional is PBE.

E (eV per atom): -5.75
Relative energy among the computed polymorphs (meV/atom): 0.0
Theoretical density (g cm⁻³): 8.44
Size of the total moment (μB/f.u.): 0.00
Raw formation energy (eV/atom): 0.932

Cell and atoms, written as POSCAR:
```
MnPtIN2
1.0
-1.2172 -3.3629 0.8798
3.1228 -1.4674 -1.2883
2.4352 0.5107 5.3212
I Mn Pt N
1 1 1 2
Cartesian
1.2176 0.2554 2.6606
0.0000 0.0000 0.0000
2.1704 -2.1598 2.4564
1.5614 -0.7337 -0.6442
-0.6086 -1.6815 0.4399
```